No. 1
Below is a relaxed structure of Sr2BeHg, with properties calculated at the PBE level.

abc: 4.7039 4.7039 11.0403
angles: 90.00 90.00 90.00
Positions (direct):
Sr1 0.0000 0.0000 0.0000
Sr2 0.0000 0.5000 0.2500
Sr3 0.5000 0.0000 0.7500
Sr4 0.5000 0.5000 0.5000
Be1 0.0000 0.5000 0.7500
Be2 0.5000 0.0000 0.2500
Hg1 0.0000 0.0000 0.5000
Hg2 0.5000 0.5000 0.0000

## Properties
total energy	-1.628	eV per atom
offset from the most stable computed form	277.2	meV/atom
space group	I-4m2
magnetic moment	0.00	μB per formula unit
theoretical density	5.232	g/cm3

---

No. 2
Below is a relaxed structure of Sr2BeHg, with properties calculated at the PBE level.

abc: 4.5185 4.5185 23.4170
angles: 90.00 90.00 120.00
Positions (direct):
Sr1 0.0000 0.0000 0.0000
Sr2 0.0000 0.0000 0.1713
Sr3 0.3333 0.6667 0.6667
Sr4 0.3333 0.6667 0.8380
Sr5 0.6667 0.3333 0.3333
Sr6 0.6667 0.3333 0.5046
Be1 0.0000 0.0000 0.4189
Be2 0.3333 0.6667 0.0856
Be3 0.6667 0.3333 0.7523
Hg1 0.0000 0.0000 0.7522
Hg2 0.3333 0.6667 0.4189
Hg3 0.6667 0.3333 0.0855

## Properties
total energy	-1.906	eV per atom
offset from the most stable computed form	0.0	meV/atom
space group	R3m
magnetic moment	0.00	μB per formula unit
theoretical density	4.630	g/cm3

---

No. 3
Below is a relaxed structure of SrBe2Hg, with properties calculated at the PBE level.

abc: 4.7016 4.7016 16.5787
angles: 90.00 90.00 90.00
Positions (direct):
Sr1 0.0000 0.2500 0.3750
Sr2 0.0000 0.7500 0.6250
Sr3 0.5000 0.2500 0.1250
Sr4 0.5000 0.7500 0.8750
Be1 0.0000 0.0000 0.0000
Be2 0.0000 0.5000 0.0000
Be3 0.2500 0.2500 0.7500
Be4 0.2500 0.7500 0.2500
Be5 0.5000 0.0000 0.5000
Be6 0.5000 0.5000 0.5000
Be7 0.7500 0.2500 0.7500
Be8 0.7500 0.7500 0.2500
Hg1 0.0000 0.2500 0.8750
Hg2 0.0000 0.7500 0.1250
Hg3 0.5000 0.2500 0.6250
Hg4 0.5000 0.7500 0.3750

## Properties
total energy	-2.131	eV per atom
space group	I4_1/amd
magnetic moment	0.00	μB per formula unit
theoretical density	5.550	g/cm3

---

No. 4
Below is a relaxed structure of SrBe2Hg, with properties calculated at the PBE level.

abc: 6.3835 6.3798 4.2991
angles: 90.00 90.62 90.00
Positions (direct):
Sr1 0.0000 0.0000 0.0000
Sr2 0.5000 0.5000 0.0000
Be1 0.2500 0.2500 0.5000
Be2 0.2500 0.7500 0.5000
Be3 0.7500 0.2500 0.5000
Be4 0.7500 0.7500 0.5000
Hg1 0.0000 0.5000 0.0000
Hg2 0.5000 0.0000 0.0000

## Properties
total energy	-1.714	eV per atom
space group	C2/m
magnetic moment	0.00	μB per formula unit
theoretical density	5.809	g/cm3

---

No. 5
Below is a relaxed structure of SrBe2Hg, with properties calculated at the PBE level.

abc: 4.1638 4.3388 5.4369
angles: 113.26 90.57 90.07
Positions (direct):
Sr1 0.0000 0.0000 0.0000
Be1 0.2542 0.7083 0.4211
Be2 0.7458 0.7067 0.4172
Hg1 0.5030 0.2678 0.5401

## Properties
total energy	-2.199	eV per atom
space group	P1
magnetic moment	0.00	μB per formula unit
theoretical density	5.636	g/cm3

---

No. 6
Below is a relaxed structure of Sr2BeHg, with properties calculated at the PBE level.

abc: 5.0355 4.4745 6.0885
angles: 90.00 114.36 90.00
Positions (direct):
Sr1 0.0000 0.0000 0.0000
Sr2 0.2941 0.5000 0.5881
Be1 0.6865 0.0000 0.3747
Hg1 0.6015 0.5000 0.2028

## Properties
total energy	-1.902	eV per atom
offset from the most stable computed form	3.8	meV/atom
space group	Pm
magnetic moment	0.00	μB per formula unit
theoretical density	5.114	g/cm3

---

No. 7
Below is a relaxed structure of Sr2BeHg2, with properties calculated at the PBE level.

abc: 7.8894 7.8894 4.7440
angles: 90.00 90.00 90.00
Positions (direct):
Sr1 0.1732 0.3268 0.0000
Sr2 0.3268 0.8268 0.0000
Sr3 0.6732 0.1732 0.0000
Sr4 0.8268 0.6732 0.0000
Be1 0.0000 0.0000 0.5000
Be2 0.5000 0.5000 0.5000
Hg1 0.1385 0.6385 0.5000
Hg2 0.3615 0.1385 0.5000
Hg3 0.6385 0.8615 0.5000
Hg4 0.8615 0.3615 0.5000

## Properties
total energy	-1.546	eV per atom
space group	P4/mbm
magnetic moment	0.00	μB per formula unit
theoretical density	6.584	g/cm3

---

No. 8
Below is a relaxed structure of SrBe2Hg, with properties calculated at the PBE level.

abc: 4.3431 5.6915 6.9537
angles: 90.00 90.00 90.00
Positions (direct):
Sr1 0.0000 0.0000 0.0000
Sr2 0.5000 0.5000 0.5000
Be1 0.0000 0.5000 0.1583
Be2 0.0000 0.5000 0.8417
Be3 0.5000 0.0000 0.3417
Be4 0.5000 0.0000 0.6583
Hg1 0.0000 0.0000 0.5000
Hg2 0.5000 0.5000 0.0000

## Properties
total energy	-2.008	eV per atom
space group	Immm
magnetic moment	0.00	μB per formula unit
theoretical density	5.917	g/cm3

---

No. 9
Below is a relaxed structure of Sr2BeHg, with properties calculated at the PBE level.

abc: 7.8034 7.8034 7.8034
angles: 90.00 90.00 90.00
Positions (direct):
Sr1 0.2500 0.2500 0.2500
Sr2 0.2500 0.2500 0.7500
Sr3 0.2500 0.7500 0.2500
Sr4 0.2500 0.7500 0.7500
Sr5 0.7500 0.2500 0.2500
Sr6 0.7500 0.2500 0.7500
Sr7 0.7500 0.7500 0.2500
Sr8 0.7500 0.7500 0.7500
Be1 0.0000 0.0000 0.0000
Be2 0.0000 0.5000 0.5000
Be3 0.5000 0.0000 0.5000
Be4 0.5000 0.5000 0.0000
Hg1 0.0000 0.0000 0.5000
Hg2 0.0000 0.5000 0.0000
Hg3 0.5000 0.0000 0.0000
Hg4 0.5000 0.5000 0.5000

## Properties
total energy	-1.825	eV per atom
offset from the most stable computed form	81.1	meV/atom
space group	Fm-3m
magnetic moment	0.00	μB per formula unit
theoretical density	5.380	g/cm3

---

No. 10
Below is a relaxed structure of SrBe4Hg, with properties calculated at the PBE level.

abc: 5.0787 5.0787 5.0787
angles: 60.00 60.00 60.00
Positions (direct):
Sr1 0.0000 0.0000 0.0000
Be1 0.1180 0.6273 0.6273
Be2 0.6273 0.1180 0.6273
Be3 0.6273 0.6273 0.1180
Be4 0.6273 0.6273 0.6273
Hg1 0.2500 0.2500 0.2500

## Properties
total energy	-2.314	eV per atom
space group	F-43m
magnetic moment	0.00	μB per formula unit
theoretical density	5.813	g/cm3